Computed, not measured: an optimized crystal structure of SbOs3Br at the GGA-PBE level of DFT.

It has space group Pm-3m (No. 221), with a = 4.9613 Å, b = 4.9613 Å, c = 4.9613 Å, α = 90.00°, β = 90.00° and γ = 90.00°. The asymmetric unit holds Sb at (0.0000, 0.0000, 0.0000), Os at (0.0000, 0.0000, 0.5000) and Br at (0.5000, 0.5000, 0.5000).

The theoretical density is 10.50 g/cm³. For the volume, the calculation gives 24.4 Å³ per atom. Its calculated total energy is -5.245 eV per atom. The energy relative to the lowest polymorph listed for this composition comes out at 0.317 eV/atom. Its uncorrected formation energy is 13.26 eV/f.u.